# 1
## LaSi2IrPd2 (PBE)

Data for an optimized crystal structure of LaSi2IrPd2.

For the density, the calculation gives 8317 kg/m3. Its total magnetic moment is 0.00 μB/f.u. The value obtained for the electronic total energy is -6.35 eV/atom. The value obtained for the uncorrected formation energy is -0.5131 eV per atom.

The space group is P4/mmm (No. 123) and the conventional cell measures 4.608, 4.608 and 5.643 Å, with angles of 90.00, 90.00 and 90.00 degrees. Symmetry generates all atoms from La at (0.000, 0.000, 0.000), Si at (0.000, 0.500, 0.500), Ir at (0.000, 0.000, 0.500) and Pd at (0.500, 0.500, 0.248).

# 2
## La2Si4IrPd3 (PBE)

Data for an optimized crystal structure of La2Si4IrPd3.

For the density, the calculation gives 8168 kg/m3. Its total magnetic moment is 0.00 μB/f.u. The value obtained for the electronic total energy is -6.52 eV/atom. The value obtained for the uncorrected formation energy is -0.9240 eV per atom.

The space group is P-4m2 (No. 115) and the conventional cell measures 4.266, 4.266 and 10.073 Å, with angles of 90.00, 90.00 and 90.00 degrees. Symmetry generates all atoms from La at (0.000, 0.500, 0.244), Si at (0.000, 0.000, 0.000), Si at (0.000, 0.500, 0.626), Si at (0.500, 0.500, 0.000), Ir at (0.000, 0.000, 0.500), Pd at (0.000, 0.500, 0.875) and Pd at (0.500, 0.500, 0.500).

# 3
## La2Si4Ir3Pd (PBE)

Data for an optimized crystal structure of La2Si4Ir3Pd.

For the density, the calculation gives 9889 kg/m3. Its total magnetic moment is 0.00 μB/f.u. The value obtained for the electronic total energy is -7.33 eV/atom. The value obtained for the uncorrected formation energy is -0.9940 eV per atom.

The space group is P-4m2 (No. 115) and the conventional cell measures 4.248, 4.248 and 9.986 Å, with angles of 90.00, 90.00 and 90.00 degrees. Symmetry generates all atoms from La at (0.000, 0.500, 0.241), Si at (0.000, 0.000, 0.000), Si at (0.000, 0.500, 0.632), Si at (0.500, 0.500, 0.000), Ir at (0.000, 0.500, 0.876), Ir at (0.500, 0.500, 0.500) and Pd at (0.000, 0.000, 0.500).

# 4
## LaSmIrPd (PBE)

Data for an optimized crystal structure of LaSmIrPd.

Its formation energy is -731.0 meV/atom. For the density, the calculation gives 10612 kg/m3. Its polymorph energy (0 for the lowest one) is 49 meV/atom. Its total magnetic moment is 0.00 μB/f.u. The value obtained for the electronic total energy is -6.66 eV/atom.

The space group is F-43m (No. 216) and the conventional cell measures 7.166, 7.166 and 7.166 Å, with angles of 90.00, 90.00 and 90.00 degrees. Symmetry generates all atoms from La at (0.000, 0.000, 0.000), Sm at (0.000, 0.000, 0.500), Ir at (0.250, 0.250, 0.750) and Pd at (0.250, 0.250, 0.250).

# 5
## LaSmIrPd (PBE)

Data for an optimized crystal structure of LaSmIrPd.

Its formation energy is -779.9 meV/atom. For the density, the calculation gives 10215 kg/m3. Its polymorph energy (0 for the lowest one) is 0 meV/atom. Its total magnetic moment is 0.00 μB/f.u. The value obtained for the electronic total energy is -6.71 eV/atom.

The space group is Amm2 (No. 38) and the conventional cell measures 4.552, 3.892 and 10.788 Å, with angles of 90.00, 90.00 and 90.00 degrees. Symmetry generates all atoms from La at (0.000, 0.000, 0.000), Sm at (0.500, 0.000, 0.724), Ir at (0.000, 0.000, 0.269) and Pd at (0.500, 0.000, 0.443).

# 6
## La2Sn4IrPd3 (PBE)

Data for an optimized crystal structure of La2Sn4IrPd3.

Its formation energy is -750.7 meV/atom. For the density, the calculation gives 9159 kg/m3. Its total magnetic moment is 0.00 μB/f.u. The value obtained for the electronic total energy is -5.78 eV/atom.

The space group is P-4m2 (No. 115) and the conventional cell measures 4.606, 4.606 and 10.802 Å, with angles of 90.00, 90.00 and 90.00 degrees. Symmetry generates all atoms from La at (0.000, 0.500, 0.241), Sn at (0.000, 0.000, 0.500), Sn at (0.000, 0.500, 0.875), Sn at (0.500, 0.500, 0.500), Ir at (0.500, 0.500, 0.000), Pd at (0.000, 0.000, 0.000) and Pd at (0.000, 0.500, 0.633).

# 7
## LaTa2IrPd (PBE)

Data for an optimized crystal structure of LaTa2IrPd.

Its formation energy is 2313.1 meV/atom. For the density, the calculation gives 11480 kg/m3. Its total magnetic moment is 0.08 μB/f.u. The value obtained for the electronic total energy is -6.22 eV/atom.

The space group is P4/mmm (No. 123) and the conventional cell measures 4.912, 4.912 and 4.793 Å, with angles of 90.00, 90.00 and 90.00 degrees. Symmetry generates all atoms from La at (0.000, 0.000, 0.000), Ta at (0.000, 0.500, 0.000), Ir at (0.500, 0.500, 0.500) and Pd at (0.000, 0.000, 0.500).

# 8
## LaTe2IrPd (PBE)

Data for an optimized crystal structure of LaTe2IrPd.

For the density, the calculation gives 8173 kg/m3. Its total magnetic moment is 0.00 μB/f.u. The value obtained for the electronic total energy is -4.68 eV/atom. The value obtained for the uncorrected formation energy is 0.3685 eV per atom.

The space group is P4/mmm (No. 123) and the conventional cell measures 5.188, 5.188 and 5.229 Å, with angles of 90.00, 90.00 and 90.00 degrees. Symmetry generates all atoms from La at (0.000, 0.000, 0.000), Te at (0.000, 0.500, 0.500), Ir at (0.500, 0.500, 0.000) and Pd at (0.000, 0.000, 0.500).

# 9
## La8Te4Ir3Pd (PBE)

Data for an optimized crystal structure of La8Te4Ir3Pd.

For the density, the calculation gives 7790 kg/m3. Its total magnetic moment is 0.00 μB/f.u. The value obtained for the electronic total energy is -6.40 eV/atom. The value obtained for the uncorrected formation energy is -1.1678 eV per atom.

The space group is R-3m (No. 166, hexagonal axes) and the conventional cell measures 8.6147, 8.6147 and 22.9315 Å, with angles of 90.00, 90.00 and 120.00 degrees. Symmetry generates all atoms from La at (0.0000, 0.0000, 0.2368), La at (0.0101, 0.5050, 0.7628), Te at (0.0000, 0.0000, 0.0000), Te at (0.0000, 0.5000, 0.0000), Ir at (0.0000, 0.5000, 0.5000) and Pd at (0.0000, 0.0000, 0.5000).

# 10
## LaThIrPd (PBE)

Data for an optimized crystal structure of LaThIrPd.

Its formation energy is -881.1 meV/atom. For the density, the calculation gives 11297 kg/m3. Its polymorph energy (0 for the lowest one) is 0 meV/atom. Its total magnetic moment is 0.00 μB/f.u. The value obtained for the electronic total energy is -7.48 eV/atom.

The space group is Amm2 (No. 38) and the conventional cell measures 4.239, 3.969 and 11.701 Å, with angles of 90.00, 90.00 and 90.00 degrees. Symmetry generates all atoms from La at (0.000, 0.000, 0.000), Th at (0.500, 0.000, 0.727), Ir at (0.000, 0.000, 0.258) and Pd at (0.500, 0.000, 0.447).

# 11
## LaThIrPd (PBE)

Data for an optimized crystal structure of LaThIrPd.

Its formation energy is -696.8 meV/atom. For the density, the calculation gives 11806 kg/m3. Its polymorph energy (0 for the lowest one) is 184 meV/atom. Its total magnetic moment is 0.00 μB/f.u. The value obtained for the electronic total energy is -7.30 eV/atom.

The space group is F-43m (No. 216) and the conventional cell measures 7.222, 7.222 and 7.222 Å, with angles of 90.00, 90.00 and 90.00 degrees. Symmetry generates all atoms from La at (0.000, 0.000, 0.000), Th at (0.000, 0.000, 0.500), Ir at (0.250, 0.250, 0.750) and Pd at (0.250, 0.250, 0.250).

# 12
## LaTlIr2Pd (PBE)

Data for an optimized crystal structure of LaTlIr2Pd.

Its formation energy is 1419.1 meV/atom. For the density, the calculation gives 9870 kg/m3. Its total magnetic moment is 0.00 μB/f.u. The value obtained for the electronic total energy is -4.62 eV/atom.

The space group is P4/mmm (No. 123) and the conventional cell measures 4.946, 4.946 and 5.737 Å, with angles of 90.00, 90.00 and 90.00 degrees. Symmetry generates all atoms from La at (0.000, 0.000, 0.000), Tl at (0.000, 0.000, 0.500), Ir at (0.000, 0.500, 0.500) and Pd at (0.500, 0.500, 0.000).